(1)
# GGA-PBE Cd2PtPb, relaxed
data_Cd2PtPb
_chemical_formula_sum 'Cd2 Pt1 Pb1'
_symmetry_space_group_name_H-M 'P 1'
_symmetry_Int_Tables_number 1
_cell_length_a 3.127
_cell_length_b 3.458
_cell_length_c 8.329
_cell_angle_alpha 90.00
_cell_angle_beta 90.00
_cell_angle_gamma 90.00
loop_
_symmetry_equiv_pos_as_xyz
'x,y,z'
loop_
_atom_site_label
_atom_site_type_symbol
_atom_site_fract_x
_atom_site_fract_y
_atom_site_fract_z
Pb1 Pb 0.500 0.500 0.250
Pt1 Pt 0.500 0.500 0.750
Cd1 Cd 0.000 0.000 0.949
Cd2 Cd 0.000 0.000 0.551
# * energy relative to the elements: -0.1094 eV per atom
# * SG: Pmmm (47)

***

(2)
# GGA-PBE Cr2TeRu, relaxed
data_Cr2TeRu
_chemical_formula_sum 'Cr2 Te1 Ru1'
_symmetry_space_group_name_H-M 'P 1'
_symmetry_Int_Tables_number 1
_cell_length_a 3.004
_cell_length_b 3.004
_cell_length_c 6.492
_cell_angle_alpha 90.00
_cell_angle_beta 90.00
_cell_angle_gamma 90.00
loop_
_symmetry_equiv_pos_as_xyz
'x,y,z'
loop_
_atom_site_label
_atom_site_type_symbol
_atom_site_fract_x
_atom_site_fract_y
_atom_site_fract_z
Cr1 Cr 0.000 0.000 0.010
Cr2 Cr 0.000 0.000 0.490
Ru1 Ru 0.500 0.500 0.250
Te1 Te 0.500 0.500 0.750
# * SG: P4/mmm (123)
# * energy relative to the elements, uncorrected: 456 meV/atom

***

(3)
# GGA-PBE SmDyEr2Bi4, relaxed
data_SmDyEr2Bi4
_chemical_formula_sum 'Sm1 Dy1 Er2 Bi4'
_symmetry_space_group_name_H-M 'P 1'
_symmetry_Int_Tables_number 1
_cell_length_a 4.486
_cell_length_b 7.761
_cell_length_c 7.764
_cell_angle_alpha 70.52
_cell_angle_beta 90.00
_cell_angle_gamma 90.00
loop_
_symmetry_equiv_pos_as_xyz
'x,y,z'
loop_
_atom_site_label
_atom_site_type_symbol
_atom_site_fract_x
_atom_site_fract_y
_atom_site_fract_z
Sm1 Sm 0.500 0.500 0.000
Dy1 Dy 0.000 0.500 0.500
Er1 Er 0.000 0.000 0.000
Er2 Er 0.500 0.000 0.500
Bi1 Bi 0.000 0.756 0.746
Bi2 Bi 0.000 0.244 0.254
Bi3 Bi 0.500 0.754 0.251
Bi4 Bi 0.500 0.246 0.749
# * energy relative to the elements: -0.8502 eV per atom
# * SG: P2/m (10)

***

(4)
# GGA-PBE Mn2AlReH, relaxed
data_Mn2AlReH
_chemical_formula_sum 'Mn2 Al1 Re1 H1'
_symmetry_space_group_name_H-M 'P 1'
_symmetry_Int_Tables_number 1
_cell_length_a 3.760
_cell_length_b 3.760
_cell_length_c 3.939
_cell_angle_alpha 90.00
_cell_angle_beta 90.00
_cell_angle_gamma 90.00
loop_
_symmetry_equiv_pos_as_xyz
'x,y,z'
loop_
_atom_site_label
_atom_site_type_symbol
_atom_site_fract_x
_atom_site_fract_y
_atom_site_fract_z
Re1 Re 0.000 0.000 0.500
Mn1 Mn 0.000 0.500 0.000
Mn2 Mn 0.500 0.000 0.000
Al1 Al 0.500 0.500 0.500
H1 H 0.000 0.000 0.000
# * energy above the lowest structure with this stoichiometry: 0 meV per atom
# * SG: P4/mmm (123)

***

(5)
# GGA-PBE Sr2TaMn, relaxed
data_Sr2TaMn
_chemical_formula_sum 'Sr4 Ta2 Mn2'
_symmetry_space_group_name_H-M 'P 1'
_symmetry_Int_Tables_number 1
_cell_length_a 11.770
_cell_length_b 11.770
_cell_length_c 8.603
_cell_angle_alpha 46.84
_cell_angle_beta 46.84
_cell_angle_gamma 90.00
loop_
_symmetry_equiv_pos_as_xyz
'x,y,z'
loop_
_atom_site_label
_atom_site_type_symbol
_atom_site_fract_x
_atom_site_fract_y
_atom_site_fract_z
Sr1 Sr 0.445 0.125 0.250
Sr2 Sr 0.305 0.625 0.250
Sr3 Sr 0.375 0.555 0.750
Sr4 Sr 0.875 0.695 0.750
Mn1 Mn 0.500 0.500 0.000
Mn2 Mn 0.250 0.750 0.500
Ta1 Ta 0.000 0.000 0.000
Ta2 Ta 0.750 0.250 0.500
# * energy above the lowest structure with this stoichiometry: 578 meV per atom
# * energy relative to the elements: 1.0534 eV per atom
# * SG: I-42d (122)

***

(6)
# GGA-PBE KBiI2F, relaxed
data_KBiI2F
_chemical_formula_sum 'K1 Bi1 I2 F1'
_symmetry_space_group_name_H-M 'P 1'
_symmetry_Int_Tables_number 1
_cell_length_a 6.495
_cell_length_b 6.495
_cell_length_c 4.622
_cell_angle_alpha 90.00
_cell_angle_beta 90.00
_cell_angle_gamma 90.00
loop_
_symmetry_equiv_pos_as_xyz
'x,y,z'
loop_
_atom_site_label
_atom_site_type_symbol
_atom_site_fract_x
_atom_site_fract_y
_atom_site_fract_z
I1 I 0.000 0.500 0.000
I2 I 0.500 0.000 0.000
K1 K 0.500 0.500 0.500
Bi1 Bi 0.000 0.000 0.000
F1 F 0.000 0.000 0.500
# * SG: P4/mmm (123)
# * energy relative to the elements, uncorrected: -1190 meV/atom

***

(7)
# GGA-PBE Lu2GaNi2, relaxed
data_Lu2GaNi2
_chemical_formula_sum 'Lu2 Ga1 Ni2'
_symmetry_space_group_name_H-M 'P 1'
_symmetry_Int_Tables_number 1
_cell_length_a 4.134
_cell_length_b 5.249
_cell_length_c 5.249
_cell_angle_alpha 60.58
_cell_angle_beta 66.89
_cell_angle_gamma 66.89
loop_
_symmetry_equiv_pos_as_xyz
'x,y,z'
loop_
_atom_site_label
_atom_site_type_symbol
_atom_site_fract_x
_atom_site_fract_y
_atom_site_fract_z
Ni1 Ni 0.500 0.269 0.731
Ni2 Ni 0.500 0.731 0.269
Lu1 Lu 0.798 0.702 0.702
Lu2 Lu 0.202 0.298 0.298
Ga1 Ga 0.000 0.000 0.000
# * energy relative to the elements: -0.6224 eV per atom
# * SG: C2/m (12)

***

(8)
# GGA-PBE TaPdBr2, relaxed
data_TaPdBr2
_chemical_formula_sum 'Ta1 Pd1 Br2'
_symmetry_space_group_name_H-M 'P 1'
_symmetry_Int_Tables_number 1
_cell_length_a 4.692
_cell_length_b 4.692
_cell_length_c 4.692
_cell_angle_alpha 60.00
_cell_angle_beta 60.00
_cell_angle_gamma 60.00
loop_
_symmetry_equiv_pos_as_xyz
'x,y,z'
loop_
_atom_site_label
_atom_site_type_symbol
_atom_site_fract_x
_atom_site_fract_y
_atom_site_fract_z
Br1 Br 0.250 0.250 0.250
Br2 Br 0.750 0.750 0.750
Pd1 Pd 0.000 0.000 0.000
Ta1 Ta 0.500 0.500 0.500
# * energy above the lowest structure with this stoichiometry: 476 meV per atom
# * SG: Fm-3m (225)
# * energy relative to the elements, uncorrected: 515 meV/atom